Record 1
Y6Er5Tm2 | GGA-PBE | relaxed

calculated density: 6.84 g/cm3
symmetry: Pbam, No. 55
raw total energy: -5.320 eV/atom

Cell lengths 3.5564, 11.5852, 20.1224 Å; angles 90.00, 90.00, 90.00 degrees
Atoms (fractional coordinates):
Y 0.0000 0.0857 0.3693
Y 0.0000 0.9143 0.6307
Y 0.0000 0.5857 0.1307
Y 0.0000 0.4143 0.8693
Y 0.5000 0.3281 0.1364
Y 0.5000 0.6719 0.8636
Y 0.5000 0.8281 0.3636
Y 0.5000 0.1719 0.6364
Y 0.0000 0.5575 0.4184
Y 0.0000 0.4425 0.5816
Y 0.0000 0.0575 0.0816
Y 0.0000 0.9425 0.9184
Er 0.5000 0.3014 0.4501
Er 0.5000 0.6986 0.5499
Er 0.5000 0.8014 0.0499
Er 0.5000 0.1986 0.9501
Er 0.5000 0.5902 0.2721
Er 0.5000 0.4098 0.7279
Er 0.5000 0.0902 0.2279
Er 0.5000 0.9098 0.7721
Er 0.5000 0.5000 0.0000
Er 0.5000 0.0000 0.5000
Tm 0.0000 0.3346 0.2912
Tm 0.0000 0.6654 0.7088
Tm 0.0000 0.8346 0.2088
Tm 0.0000 0.1654 0.7912



Record 2
HfBeCuIr | GGA-PBE | relaxed

calculated density: 12.73 g/cm3
symmetry: F-43m, No. 216
raw total energy: -7.020 eV/atom

Cell lengths 4.3401, 4.3401, 4.3401 Å; angles 60.00, 60.00, 60.00 degrees
Atoms (fractional coordinates):
Be 0.0000 0.0000 0.0000
Ir 0.7500 0.7500 0.7500
Hf 0.5000 0.5000 0.5000
Cu 0.2500 0.2500 0.2500



Record 3
Pr5HoAl6 | GGA-PBE | relaxed

calculated density: 5.51 g/cm3
symmetry: Immm, No. 71
raw total energy: -4.589 eV/atom

Cell lengths 5.2857, 7.4277, 9.1376 Å; angles 66.02, 73.17, 90.00 degrees
Atoms (fractional coordinates):
Pr 0.6744 0.1742 0.6515
Pr 0.3378 0.3377 0.3246
Pr 0.0000 0.5000 0.0000
Pr 0.6622 0.6623 0.6754
Pr 0.3256 0.8258 0.3485
Ho 0.0000 0.0000 0.0000
Al 0.8378 0.5992 0.3244
Al 0.8377 0.0764 0.3244
Al 0.5000 0.7721 0.0000
Al 0.5000 0.2279 0.0000
Al 0.1623 0.9236 0.6756
Al 0.1622 0.4008 0.6756



Record 4
Al2PPt | GGA-PBE | relaxed

calculated density: 7.14 g/cm3
symmetry: Imm2, No. 44
raw total energy: -5.063 eV/atom

Cell lengths 6.0510, 6.0510, 6.0510 Å; angles 153.63, 138.39, 49.94 degrees
Atoms (fractional coordinates):
P 0.4504 0.4504 0.0000
Al 0.0337 0.0337 0.0000
Al 0.7844 0.2844 0.5000
Pt 0.2316 0.7316 0.5000



Record 5
MnIn3Si | GGA-PBE | relaxed

calculated density: 5.51 g/cm3
symmetry: Pm-3m, No. 221
raw total energy: -3.901 eV/atom
ΔE_f (raw): 0.66 eV per atom

Cell lengths 5.0515, 5.0515, 5.0515 Å; angles 90.00, 90.00, 90.00 degrees
Each line ends with the local moment (μB).
Atoms (fractional coordinates):
Si 0.5000 0.5000 0.5000  0.09
Mn 0.0000 0.0000 0.0000  2.42
In 0.0000 0.5000 0.0000  -0.08
In 0.0000 0.0000 0.5000  -0.03
In 0.5000 0.0000 0.0000  -0.09



Record 6
Sm4Y3Tm3 | GGA-PBE | relaxed

calculated density: 7.04 g/cm3
symmetry: Amm2, No. 38
raw total energy: -5.087 eV/atom

Cell lengths 3.7694, 9.2762, 9.2762 Å; angles 89.98, 90.00, 90.00 degrees
Atoms (fractional coordinates):
Sm 0.0000 0.6301 0.3699
Sm 0.0000 0.3716 0.6284
Sm 0.0000 0.8682 0.8710
Sm 0.0000 0.1290 0.1318
Y 0.0000 0.5010 0.0007
Y 0.0000 0.9993 0.4990
Y 0.5000 0.1690 0.8310
Tm 0.5000 0.8311 0.1689
Tm 0.5000 0.3317 0.3310
Tm 0.5000 0.6690 0.6683



Record 7
CuAs2Cl | GGA-PBE | relaxed

calculated density: 4.92 g/cm3
symmetry: Imm2, No. 44
raw total energy: -3.807 eV/atom
ΔE_f (raw): 0.00 eV per atom

Cell lengths 7.7036, 7.7036, 7.7036 Å; angles 153.31, 155.83, 36.32 degrees
Atoms (fractional coordinates):
As 0.9128 0.9128 0.0000
As 0.7924 0.2924 0.5000
Cu 0.2029 0.7029 0.5000
Cl 0.5920 0.5920 0.0000



Record 8
Tb2Ga5Au | GGA-PBE | relaxed

calculated density: 8.96 g/cm3
symmetry: I4mm, No. 107
raw total energy: -4.010 eV/atom

Cell lengths 6.1158, 6.1158, 6.1158 Å; angles 88.78, 120.71, 120.71 degrees
Atoms (fractional coordinates):
Tb 0.5000 0.2706 0.7706
Tb 0.5000 0.7706 0.2706
Ga 0.4592 0.7522 0.7522
Ga 0.0000 0.7522 0.2930
Ga 0.0000 0.2930 0.7522
Ga 0.5408 0.2930 0.2930
Ga 0.0000 0.2409 0.2409
Au 0.0000 0.8496 0.8496